## ZnCrNi2 (PBE)

Data for ZnCrNi2 after structural relaxation.

Properties
- total DFT energy (no corrections) (eV for the cell shown) = -22.8
- SG = P4/mmm (123)

CIF file:
```
data_ZnCrNi2
_chemical_formula_sum 'Zn1 Cr1 Ni2'
_space_group_name_H-M_alt 'P 1'
_space_group_IT_number 1
_space_group_name_Hall 'P 1'
_cell_length_a 2.541
_cell_length_b 2.541
_cell_length_c 7.184
_cell_angle_alpha 90.00
_cell_angle_beta 90.00
_cell_angle_gamma 90.00
loop_
_atom_site_label
_atom_site_fract_x
_atom_site_fract_y
_atom_site_fract_z
_atom_site_occupancy
Zn1 0.000 0.000 0.000 1
Cr1 0.000 0.000 0.500 1
Ni1 0.500 0.500 0.258 1
Ni2 0.500 0.500 0.742 1
```